Below is crystalline LiInReNi at its relaxed geometry, with properties calculated at the GGA-PBE level.

Cell lengths 4.3262, 4.3262, 4.3262 Å; angles 60.00, 60.00, 60.00 degrees
Sites, in units of the cell vectors:
In: 0.0000 0.0000 0.0000
Li: 0.2500 0.2500 0.2500
Ni: 0.7500 0.7500 0.7500
Re: 0.5000 0.5000 0.5000

The calculation puts the uncorrected energy at -5.33 eV/atom. As for the crystal system: cubic. The magnetic moment comes out at 2.7 μB per formula unit. As for the space group: F-43m (216).

Below is crystalline LiScInNi at its relaxed geometry, with properties calculated at the GGA-PBE level.

Cell lengths 4.4968, 4.4968, 4.4968 Å; angles 60.00, 60.00, 60.00 degrees
Sites, in units of the cell vectors:
In: 0.2500 0.2500 0.2500
Li: 0.5000 0.5000 0.5000
Ni: 0.0000 0.0000 0.0000
Sc: 0.7500 0.7500 0.7500

As for the crystal system: cubic. The magnetic moment comes out at 0.0 μB per formula unit. As for the energy above the most stable polymorph in this dataset: 0.00 eV per formula unit. As for the space group: F-43m (216).

Below is crystalline LiScInNi at its relaxed geometry, with properties calculated at the GGA-PBE level.

Cell lengths 4.5519, 4.5519, 4.5519 Å; angles 60.00, 60.00, 60.00 degrees
Sites, in units of the cell vectors:
In: 0.2500 0.2500 0.2500
Li: 0.7500 0.7500 0.7500
Ni: 0.5000 0.5000 0.5000
Sc: 0.0000 0.0000 0.0000

As for the crystal system: cubic. The magnetic moment comes out at 0.0 μB per formula unit. As for the energy above the most stable polymorph in this dataset: 0.90 eV per formula unit. As for the space group: F-43m (216).

Below is crystalline LiScInNi at its relaxed geometry, with properties calculated at the GGA-PBE level.

Cell lengths 4.5846, 4.5846, 4.5846 Å; angles 60.00, 60.00, 60.00 degrees
Sites, in units of the cell vectors:
In: 0.0000 0.0000 0.0000
Li: 0.2500 0.2500 0.2500
Ni: 0.5000 0.5000 0.5000
Sc: 0.7500 0.7500 0.7500

As for the crystal system: cubic. The magnetic moment comes out at 0.0 μB per formula unit. As for the energy above the most stable polymorph in this dataset: 0.82 eV per formula unit. As for the space group: F-43m (216).

Below is crystalline LiInSiNi at its relaxed geometry, with properties calculated at the GGA-PBE level.

Cell lengths 4.3128, 4.3128, 4.3128 Å; angles 60.00, 60.00, 60.00 degrees
Sites, in units of the cell vectors:
In: 0.5000 0.5000 0.5000
Li: 0.7500 0.7500 0.7500
Ni: 0.2500 0.2500 0.2500
Si: 0.0000 0.0000 0.0000

As for the crystal system: cubic. The magnetic moment comes out at 0.0 μB per formula unit. As for the energy above the most stable polymorph in this dataset: 0.00 eV per formula unit. As for the space group: F-43m (216).

Below is crystalline LiInSiNi at its relaxed geometry, with properties calculated at the GGA-PBE level.

Cell lengths 4.4621, 4.4621, 4.4621 Å; angles 60.00, 60.00, 60.00 degrees
Sites, in units of the cell vectors:
In: 0.2500 0.2500 0.2500
Li: 0.7500 0.7500 0.7500
Ni: 0.5000 0.5000 0.5000
Si: 0.0000 0.0000 0.0000

As for the crystal system: cubic. The magnetic moment comes out at 0.0 μB per formula unit. As for the energy above the most stable polymorph in this dataset: 1.00 eV per formula unit. As for the space group: F-43m (216).

Below is crystalline Li4InNi2Sn at its relaxed geometry, with properties calculated at the GGA-PBE level.

Cell lengths 4.3601, 4.3601, 6.1199 Å; angles 90.00, 90.00, 90.00 degrees
Sites, in units of the cell vectors:
In: 0.0000 0.0000 0.5000
Li: 0.0000 0.0000 0.0000
Li: 0.0000 0.5000 0.2504
Li: 0.5000 0.5000 0.5000
Li: 0.5000 0.0000 0.7496
Ni: 0.5000 0.0000 0.2425
Ni: 0.0000 0.5000 0.7575
Sn: 0.5000 0.5000 0.0000

The calculation puts the uncorrected energy at -3.47 eV/atom. As for the crystal system: tetragonal. The magnetic moment comes out at 0.0 μB per formula unit. As for the space group: P-4m2 (115).

Below is crystalline LiInNiSn at its relaxed geometry, with properties calculated at the GGA-PBE level.

Cell lengths 4.5779, 4.5779, 4.5779 Å; angles 60.00, 60.00, 60.00 degrees
Sites, in units of the cell vectors:
In: 0.5000 0.5000 0.5000
Li: 0.7500 0.7500 0.7500
Ni: 0.2500 0.2500 0.2500
Sn: 0.0000 0.0000 0.0000

As for the crystal system: cubic. The magnetic moment comes out at 0.0 μB per formula unit. As for the energy above the most stable polymorph in this dataset: 0.00 eV per formula unit. As for the space group: F-43m (216).